1.
A geometry-optimized KPu2F8 structure. Source: Alexandria, functional PBE.

For the density of states at the Fermi level, the calculation gives 26.18 states/eV/cell. The calculation puts the total energy at -7.490 eV per atom. Its magnetization is 18.0 Bohr magnetons per cell. The distance to the lowest polymorph of the same formula is 0.049 eV/atom.

The structure belongs to space group C2/m (No. 12); the cell edges are 11.046, 7.207 and 4.544 Å and the angles 90.00°, 97.60° and 90.00°. The asymmetric unit holds K at (0.000, 0.000, 0.000), Pu at (0.175, 0.500, 0.457), F at (0.028, 0.500, 0.760), F at (0.141, 0.191, 0.437) and F at (0.249, 0.500, 0.015).

2.
A geometry-optimized KPu2F8 structure. Source: Alexandria, functional PBE.

For the density of states at the Fermi level, the calculation gives 32.87 states/eV/cell. The calculation puts the total energy at -7.539 eV per atom. Its magnetization is 18.0 Bohr magnetons per cell. The distance to the lowest polymorph of the same formula is 0.000 eV/atom.

The structure belongs to space group C2/m (No. 12); the cell edges are 7.134, 10.985 and 4.452 Å and the angles 90.00°, 98.47° and 90.00°. The asymmetric unit holds K at (0.000, 0.000, 0.000), Pu at (0.000, 0.324, 0.500), F at (0.000, 0.267, 0.000), F at (0.112, 0.500, 0.757) and F at (0.190, 0.148, 0.582).

3.
A geometry-optimized KPu2F6 structure. Source: Alexandria, functional PBE.

For the density of states at the Fermi level, the calculation gives 35.78 states/eV/cell. The calculation puts the total energy at -7.899 eV per atom. Its magnetization is 22.0 Bohr magnetons per cell.

The structure belongs to space group I4/mmm (No. 139); the cell edges are 4.106, 4.106 and 18.445 Å and the angles 90.00°, 90.00° and 90.00°. The asymmetric unit holds K at (0.000, 0.000, 0.000), Pu at (0.000, 0.000, 0.335), F at (0.000, 0.500, 0.097) and F at (0.000, 0.500, 0.250).

4.
A geometry-optimized K5Pu2F12 structure. Source: Alexandria, functional PBE.

For the density of states at the Fermi level, the calculation gives 40.94 states/eV/cell. The calculation puts the total energy at -6.142 eV per atom. Its magnetization is 18.0 Bohr magnetons per cell. The distance to the lowest polymorph of the same formula is 0.000 eV/atom.

The structure belongs to space group C2/m (No. 12); the cell edges are 13.744, 8.076 and 7.553 Å and the angles 90.00°, 121.21° and 90.00°. The asymmetric unit holds K at (0.000, 0.000, 0.000), K at (0.204, 0.500, 0.021), K at (0.231, 0.500, 0.504), Pu at (0.000, 0.247, 0.500), F at (0.001, 0.500, 0.669), F at (0.078, 0.000, 0.698), F at (0.090, 0.208, 0.321) and F at (0.188, 0.290, 0.742).

5.
A geometry-optimized K3PuF6 structure. Source: Alexandria, functional PBE.

For the density of states at the Fermi level, the calculation gives 11.23 states/eV/cell. The calculation puts the total energy at -6.007 eV per atom. Its magnetization is 10.0 Bohr magnetons per cell.

The structure belongs to space group P2_1/c (No. 14); the cell edges are 6.537, 6.715 and 11.124 Å and the angles 90.00°, 123.72° and 90.00°. The asymmetric unit holds K at (0.000, 0.000, 0.000), K at (0.217, 0.049, 0.735), Pu at (0.500, 0.000, 0.500), F at (0.163, 0.175, 0.454), F at (0.234, 0.730, 0.414) and F at (0.400, 0.076, 0.273).

6.
A geometry-optimized K2PuF5 structure. Source: Alexandria, functional PBE.

For the density of states at the Fermi level, the calculation gives 39.69 states/eV/cell. The calculation puts the total energy at -6.465 eV per atom. Its magnetization is 20.0 Bohr magnetons per cell.

The structure belongs to space group Pnma (No. 62); the cell edges are 11.078, 7.641 and 6.726 Å and the angles 90.00°, 90.00° and 90.00°. The asymmetric unit holds K at (0.170, 0.003, 0.029), Pu at (0.001, 0.250, 0.556), F at (0.010, 0.250, 0.904), F at (0.083, 0.530, 0.649), F at (0.172, 0.250, 0.363) and F at (0.196, 0.750, 0.334).